Record 1
Entry from Alexandria via LeMat-Bulk: a geometry-optimized MnWNO2 structure (GGA+U).

```
MnWNO2
1.0
3.713 0.000 0.000
0.000 3.713 0.000
0.000 0.000 4.012
Mn W N O
1 1 1 2
Direct
0.000 0.000 0.000 Mn
0.500 0.500 0.500 W
0.000 0.000 0.500 N
0.000 0.500 0.000 O
0.500 0.000 0.000 O
```

Record 2
Entry from Alexandria via LeMat-Bulk: a geometry-optimized Rb2NiSe2O6 structure (GGA+U).

```
Rb2NiSe2O6
1.0
6.775 -2.688 0.000
6.775 2.688 0.000
-4.213 0.000 6.339
Rb Ni Se O
2 1 2 6
Direct
0.211 0.211 0.216 Rb
0.789 0.789 0.784 Rb
0.000 0.000 0.500 Ni
0.474 0.474 0.197 Se
0.526 0.526 0.803 Se
0.167 0.678 0.266 O
0.322 0.833 0.734 O
0.376 0.376 0.647 O
0.624 0.624 0.353 O
0.678 0.167 0.266 O
0.833 0.322 0.734 O
```

| no. | total DFT energy (no corrections) (eV per cell) |
| --- | --- |
| 1 | -32.9 |
| 2 | -53.8 |